Here is a relaxed CsNb5Te8 crystal from Alexandria. Energies are from PBE.

Computed properties:
formation energy (no corrections): -0.517 eV/atom
symmetry: C2/m
Fermi-level density of states: 5.69 states/eV/cell
ρ: 6.45 g/cm³

Cell lengths 3.706, 11.027, 11.238 Å; angles 112.69, 99.49, 90.00 degrees
Atoms (fractional coordinates):
Cs: 0.500 0.500 0.000
Nb: 0.293 0.617 0.587
Nb: 0.707 0.383 0.414
Nb: 0.375 0.949 0.750
Nb: 0.625 0.051 0.250
Nb: 0.000 0.000 0.000
Te: 0.225 0.195 0.451
Te: 0.775 0.805 0.550
Te: 0.158 0.513 0.317
Te: 0.842 0.487 0.683
Te: 0.086 0.851 0.172
Te: 0.914 0.150 0.827
Te: 0.438 0.786 0.876
Te: 0.562 0.214 0.124